Entry 1:
# Ca2HgBr, single point on PBEsol structure, DFT SCAN
data_Ca2HgBr
_chemical_formula_sum 'Ca4 Hg2 Br2'
_space_group_name_H-M_alt 'I m m 2'
_space_group_IT_number 44
_cell_length_a 3.6814
_cell_length_b 3.8867
_cell_length_c 16.1614
_cell_angle_alpha 90.00
_cell_angle_beta 90.00
_cell_angle_gamma 90.00
loop_
_space_group_symop_operation_xyz
'x,y,z'
'-x,-y,z'
'-x,y,z'
'x,-y,z'
'x+1/2,y+1/2,z+1/2'
'-x+1/2,-y+1/2,z+1/2'
'-x+1/2,y+1/2,z+1/2'
'x+1/2,-y+1/2,z+1/2'
loop_
_atom_site_label
_atom_site_fract_x
_atom_site_fract_y
_atom_site_fract_z
_atom_site_occupancy
Ca1 0.0000 0.0000 0.0000 1
Ca2 0.0000 0.5000 0.2650 1
Hg1 0.0000 0.5000 0.8553 1
Br1 0.0000 0.0000 0.6026 1
# E_form (uncorrected), eV/f.u.: -4.1
# Total magnetic moment, μB/f.u.: 0.0
# V, A^3/atom: 28.9

***

Entry 2:
# Pm2AgSn, single point on PBEsol structure, DFT SCAN
data_Pm2AgSn
_chemical_formula_sum 'Pm8 Ag4 Sn4'
_space_group_name_H-M_alt 'F m -3 m'
_space_group_IT_number 225
_space_group_name_Hall '-F 4 2 3'
_cell_length_a 7.4483
_cell_length_b 7.4483
_cell_length_c 7.4483
_cell_angle_alpha 90.00
_cell_angle_beta 90.00
_cell_angle_gamma 90.00
loop_
_atom_site_label
_atom_site_fract_x
_atom_site_fract_y
_atom_site_fract_z
_atom_site_occupancy
Pm1 0.2500 0.2500 0.2500 1
Ag1 0.0000 0.0000 0.0000 1
Sn1 0.0000 0.0000 0.5000 1
# Total magnetic moment, μB/f.u.: 1.0
# V, A^3/atom: 25.8
# Formation energy from the elements, meV per atom: -623

***

Entry 3:
# TiZnO2F, single point on PBEsol structure, DFT SCAN
data_TiZnO2F
_chemical_formula_sum 'Ti1 Zn1 O2 F1'
_space_group_name_H-M_alt 'P 4/m m m'
_space_group_IT_number 123
_space_group_name_Hall '-P 4 2'
_cell_length_a 3.8363
_cell_length_b 3.8363
_cell_length_c 3.9275
_cell_angle_alpha 90.00
_cell_angle_beta 90.00
_cell_angle_gamma 90.00
loop_
_atom_site_label
_atom_site_fract_x
_atom_site_fract_y
_atom_site_fract_z
_atom_site_occupancy
Ti1 0.0000 0.0000 0.0000 1
Zn1 0.5000 0.5000 0.5000 1
O1 0.0000 0.5000 0.0000 1
F1 0.0000 0.0000 0.5000 1
# E_form (uncorrected), eV/f.u.: -11.1
# Total magnetic moment, μB/f.u.: 0.0
# V, A^3/atom: 11.6

***

Entry 4:
# TiAgS3, single point on PBEsol structure, DFT SCAN
data_TiAgS3
_chemical_formula_sum 'Ti1 Ag1 S3'
_space_group_name_H-M_alt 'P m -3 m'
_space_group_IT_number 221
_space_group_name_Hall '-P 4 2 3'
_cell_length_a 4.6466
_cell_length_b 4.6466
_cell_length_c 4.6466
_cell_angle_alpha 90.00
_cell_angle_beta 90.00
_cell_angle_gamma 90.00
loop_
_atom_site_label
_atom_site_fract_x
_atom_site_fract_y
_atom_site_fract_z
_atom_site_occupancy
Ti1 0.0000 0.0000 0.0000 1
Ag1 0.5000 0.5000 0.5000 1
S1 0.0000 0.0000 0.5000 1
# E_form (uncorrected), eV/f.u.: -2.1
# Total magnetic moment, μB/f.u.: 0.0
# V, A^3/atom: 20.1

***

Entry 5:
# Sc2NiIr, single point on PBEsol structure, DFT SCAN
data_Sc2NiIr
_chemical_formula_sum 'Sc2 Ni1 Ir1'
_space_group_name_H-M_alt 'P 4/m m m'
_space_group_IT_number 123
_space_group_name_Hall '-P 4 2'
_cell_length_a 4.5093
_cell_length_b 4.5093
_cell_length_c 3.1146
_cell_angle_alpha 90.00
_cell_angle_beta 90.00
_cell_angle_gamma 90.00
loop_
_atom_site_label
_atom_site_fract_x
_atom_site_fract_y
_atom_site_fract_z
_atom_site_occupancy
Sc1 0.0000 0.5000 0.0000 1
Ni1 0.0000 0.0000 0.5000 1
Ir1 0.5000 0.5000 0.5000 1
# E above lowest polymorph, eV per atom: 0.018
# Total magnetic moment, μB/f.u.: 0.0
# V, A^3/atom: 15.8
# Formation energy from the elements, meV per atom: -910

***

Entry 6:
# TePdI, single point on PBEsol structure, DFT SCAN
data_TePdI
_chemical_formula_sum 'Te4 Pd4 I4'
_space_group_name_H-M_alt 'P 42/m m c'
_space_group_IT_number 131
_space_group_name_Hall '-P 4c 2'
_cell_length_a 7.8606
_cell_length_b 7.8606
_cell_length_c 5.5761
_cell_angle_alpha 90.00
_cell_angle_beta 90.00
_cell_angle_gamma 90.00
loop_
_atom_site_label
_atom_site_fract_x
_atom_site_fract_y
_atom_site_fract_z
_atom_site_occupancy
Te1 0.0000 0.2155 0.0000 1
Pd1 0.0000 0.2524 0.5000 1
I1 0.2404 0.5000 0.5000 1
# E_form (uncorrected), eV/f.u.: -1.1
# Total magnetic moment, μB/f.u.: 0.0
# V, A^3/atom: 28.7

***

Entry 7:
# SrMoP2O, single point on PBEsol structure, DFT SCAN
data_SrMoP2O
_chemical_formula_sum 'Sr1 Mo1 P2 O1'
_space_group_name_H-M_alt 'P 4/m m m'
_space_group_IT_number 123
_space_group_name_Hall '-P 4 2'
_cell_length_a 5.2340
_cell_length_b 5.2340
_cell_length_c 4.0305
_cell_angle_alpha 90.00
_cell_angle_beta 90.00
_cell_angle_gamma 90.00
loop_
_atom_site_label
_atom_site_fract_x
_atom_site_fract_y
_atom_site_fract_z
_atom_site_occupancy
Sr1 0.0000 0.0000 0.0000 1
Mo1 0.5000 0.5000 0.5000 1
P1 0.0000 0.5000 0.0000 1
O1 0.0000 0.0000 0.5000 1
# E_form (uncorrected), eV/f.u.: 6.0
# Total magnetic moment, μB/f.u.: 2.1
# V, A^3/atom: 22.1

***

Entry 8:
# LaGa3F, single point on PBEsol structure, DFT SCAN
data_LaGa3F
_chemical_formula_sum 'La1 Ga3 F1'
_space_group_name_H-M_alt 'P m -3 m'
_space_group_IT_number 221
_space_group_name_Hall '-P 4 2 3'
_cell_length_a 4.6363
_cell_length_b 4.6363
_cell_length_c 4.6363
_cell_angle_alpha 90.00
_cell_angle_beta 90.00
_cell_angle_gamma 90.00
loop_
_atom_site_label
_atom_site_fract_x
_atom_site_fract_y
_atom_site_fract_z
_atom_site_occupancy
La1 0.0000 0.0000 0.0000 1
Ga1 0.0000 0.5000 0.5000 1
F1 0.5000 0.5000 0.5000 1
# E_form (uncorrected), eV/f.u.: -3.8
# Total magnetic moment, μB/f.u.: 0.0
# V, A^3/atom: 19.9

***

Entry 9:
# PNF2, single point on PBEsol structure, DFT SCAN
data_PNF2
_chemical_formula_sum 'P8 N8 F16'
_space_group_name_H-M_alt 'P 1 21/c 1'
_space_group_IT_number 14
_cell_length_a 5.0527
_cell_length_b 13.8880
_cell_length_c 7.2872
_cell_angle_alpha 90.00
_cell_angle_beta 108.16
_cell_angle_gamma 90.00
loop_
_space_group_symop_operation_xyz
'x,y,z'
'-x,-y,-z'
'-x,y+1/2,-z+1/2'
'x,-y+1/2,z+1/2'
loop_
_atom_site_label
_atom_site_fract_x
_atom_site_fract_y
_atom_site_fract_z
_atom_site_occupancy
P1 0.0801 0.1149 0.1958 1
P2 0.3303 0.5743 0.6940 1
N1 0.1671 0.6160 0.4939 1
N2 0.2736 0.0264 0.2670 1
F1 0.0337 0.6445 0.1378 1
F2 0.2674 0.2037 0.1967 1
F3 0.3290 0.6494 0.8511 1
F4 0.3543 0.0783 0.7892 1
# E_form (uncorrected), eV/f.u.: -7.7
# E above lowest polymorph, eV per atom: 0.002
# Total magnetic moment, μB/f.u.: 0.0
# V, A^3/atom: 15.2

***

Entry 10:
# NaTl2Rh2, single point on PBEsol structure, DFT SCAN
data_NaTl2Rh2
_chemical_formula_sum 'Na2 Tl4 Rh4'
_space_group_name_H-M_alt 'I 4/m m m'
_space_group_IT_number 139
_space_group_name_Hall '-I 4 2'
_cell_length_a 3.9715
_cell_length_b 3.9715
_cell_length_c 13.1143
_cell_angle_alpha 90.00
_cell_angle_beta 90.00
_cell_angle_gamma 90.00
loop_
_atom_site_label
_atom_site_fract_x
_atom_site_fract_y
_atom_site_fract_z
_atom_site_occupancy
Na1 0.0000 0.0000 0.0000 1
Tl1 0.0000 0.0000 0.3882 1
Rh1 0.0000 0.5000 0.2500 1
# E above lowest polymorph, eV per atom: 0.124
# Total magnetic moment, μB/f.u.: 0.0
# V, A^3/atom: 20.7
# Formation energy from the elements, meV per atom: 135

***

Entry 11:
# Li7Ni11O22, single point on PBEsol structure, DFT SCAN
data_Li7Ni11O22
_chemical_formula_sum 'Li7 Ni11 O22'
_space_group_name_H-M_alt 'P -1'
_space_group_IT_number 2
_cell_length_a 4.9375
_cell_length_b 8.4989
_cell_length_c 9.5809
_cell_angle_alpha 114.66
_cell_angle_beta 95.21
_cell_angle_gamma 95.57
loop_
_space_group_symop_operation_xyz
'x,y,z'
'-x,-y,-z'
loop_
_atom_site_label
_atom_site_fract_x
_atom_site_fract_y
_atom_site_fract_z
_atom_site_occupancy
Li1 0.0000 0.0000 0.0000 1
Li2 0.0916 0.3645 0.1829 1
Li3 0.2728 0.0900 0.5451 1
Li4 0.3671 0.4547 0.7262 1
Ni1 0.0000 0.5000 0.5000 1
Ni2 0.0916 0.8648 0.6806 1
Ni3 0.1799 0.2291 0.8624 1
Ni4 0.2737 0.5929 0.0469 1
Ni5 0.3630 0.9526 0.2224 1
Ni6 0.4583 0.3155 0.4081 1
O1 0.0274 0.9388 0.3289 1
O2 0.0631 0.4359 0.8598 1
O3 0.1298 0.7897 0.0430 1
O4 0.1508 0.2919 0.5028 1
O5 0.2110 0.1517 0.2203 1
O6 0.2172 0.6596 0.6809 1
O7 0.2934 0.0282 0.8680 1
O8 0.3278 0.5081 0.3971 1
O9 0.3929 0.3947 0.0535 1
O10 0.4171 0.8894 0.5929 1
O11 0.4905 0.2480 0.7703 1
# E_form (uncorrected), eV/f.u.: -58.5
# Total magnetic moment, μB/f.u.: 7.0
# V, A^3/atom: 9.0

***

Entry 12:
# P2IrSO, single point on PBEsol structure, DFT SCAN
data_P2IrSO
_chemical_formula_sum 'P2 Ir1 S1 O1'
_space_group_name_H-M_alt 'P 4/m m m'
_space_group_IT_number 123
_space_group_name_Hall '-P 4 2'
_cell_length_a 4.6819
_cell_length_b 4.6819
_cell_length_c 3.6833
_cell_angle_alpha 90.00
_cell_angle_beta 90.00
_cell_angle_gamma 90.00
loop_
_atom_site_label
_atom_site_fract_x
_atom_site_fract_y
_atom_site_fract_z
_atom_site_occupancy
P1 0.0000 0.5000 0.0000 1
Ir1 0.0000 0.0000 0.0000 1
S1 0.5000 0.5000 0.5000 1
O1 0.0000 0.0000 0.5000 1
# E_form (uncorrected), eV/f.u.: 2.0
# E above lowest polymorph, eV per atom: 0.000
# Total magnetic moment, μB/f.u.: 0.0
# V, A^3/atom: 16.1